No. 1
Below is a relaxed structure of TmTe2P2Pd7, with properties calculated at the GGA-PBE level.

a = 3.9946 Å, b = 3.9946 Å, c = 14.7594 Å
α = 82.29°, β = 82.29°, γ = 90.00°
Positions (direct):
Pd: 0.4263 0.9263 0.1489
Te: 0.7927 0.7927 0.4164
Te: 0.2073 0.2073 0.5836
Tm: 0.0000 0.0000 0.0000
Pd: 0.5000 0.5000 0.0000
P: 0.3828 0.3828 0.2368
Pd: 0.6968 0.6968 0.6038
Pd: 0.9263 0.4263 0.1489
P: 0.6172 0.6172 0.7632
Pd: 0.0737 0.5737 0.8511
Pd: 0.5737 0.0737 0.8511
Pd: 0.3032 0.3032 0.3962

Computed properties:
symmetry	C2/m
crystal system	monoclinic
density of states at the Fermi level	6.74	states/eV/cell
E_tot	-5.3957	eV/atom
energy relative to the elements, uncorrected	-569	meV/atom



No. 2
Below is a relaxed structure of Th3P5Pd6, with properties calculated at the GGA-PBE level.

a = 4.0232 Å, b = 9.9891 Å, c = 12.5964 Å
α = 90.00°, β = 90.00°, γ = 90.00°
Positions (direct):
Th: 0.5000 0.7577 0.1581
Pd: 0.0000 0.6047 0.6874
Th: 0.0000 0.2423 0.6581
Th: 0.0000 0.2423 0.3419
Th: 0.0000 0.2606 0.0000
P: 0.0000 0.8454 0.6680
Pd: 0.5000 0.3953 0.1874
Th: 0.5000 0.7394 0.5000
P: 0.5000 0.1546 0.8320
Pd: 0.0000 0.0078 0.8307
P: 0.0000 0.5274 0.1234
Pd: 0.5000 0.9922 0.6693
Pd: 0.5000 0.5266 0.0000
Pd: 0.5000 0.9922 0.3307
P: 0.5000 0.1458 0.5000
P: 0.5000 0.4726 0.3766
Pd: 0.0000 0.6047 0.3126
Pd: 0.0000 0.4734 0.5000
P: 0.5000 0.4726 0.6234
P: 0.0000 0.8542 0.0000
P: 0.0000 0.8454 0.3320
P: 0.5000 0.1546 0.1680
Pd: 0.5000 0.0180 0.0000
P: 0.0000 0.5274 0.8766
Pd: 0.0000 0.9820 0.5000
Pd: 0.0000 0.0078 0.1693
Pd: 0.5000 0.3953 0.8126
Th: 0.5000 0.7577 0.8419

Computed properties:
symmetry	Pmmn
crystal system	orthorhombic
density of states at the Fermi level	12.82	states/eV/cell
E_form	-0.99	eV/atom
E_tot	-6.7420	eV/atom